(1)
# CsCo2AgBr6, relaxed, DFT GGA-PBE
# Crystal system ... monoclinic
# Space group ... C2/c (15)
# Raw formation energy ... -0.596 eV per atom
data_CsCo2AgBr6
_space_group_name_H-M_alt 'P 1'
_space_group_IT_number 1
_cell_length_a 9.6609
_cell_length_b 9.6609
_cell_length_c 7.5711
_cell_angle_alpha 103.09
_cell_angle_beta 103.09
_cell_angle_gamma 85.63
loop_
_space_group_symop_operation_xyz
'x,y,z'
loop_
_atom_site_label
_atom_site_fract_x
_atom_site_fract_y
_atom_site_fract_z
Br1 0.8862 0.8298 0.4747
Br2 0.4603 0.3192 0.8823
Ag1 0.3929 0.6071 0.7500
Br3 0.3192 0.4603 0.3823
Br4 0.8298 0.8862 0.9747
Cs1 0.1981 0.8019 0.2500
Br5 0.1702 0.1138 0.0253
Br6 0.4115 0.9032 0.7110
Br7 0.6808 0.5397 0.6177
Br8 0.1138 0.1702 0.5253
Br9 0.0968 0.5885 0.7890
Cs2 0.8019 0.1981 0.7500
Br10 0.5397 0.6808 0.1177
Co1 0.2991 0.1288 0.7871
Co2 0.7009 0.8712 0.2129
Co3 0.1288 0.2991 0.2871
Ag2 0.6071 0.3929 0.2500
Br11 0.5885 0.0968 0.2890
Br12 0.9032 0.4115 0.2110
Co4 0.8712 0.7009 0.7129

(2)
# PmEr3In4, relaxed, DFT GGA-PBE
# Energy above the lowest structure with this stoichiometry ... 119 kJ/mol of formula units
# Crystal system ... orthorhombic
# Formation enthalpy at 0 K ... -297.4 meV/atom
# Space group ... Immm (71)
data_PmEr3In4
_space_group_name_H-M_alt 'P 1'
_space_group_IT_number 1
_cell_length_a 3.4205
_cell_length_b 7.1219
_cell_length_c 10.1627
_cell_angle_alpha 110.50
_cell_angle_beta 99.69
_cell_angle_gamma 90.00
loop_
_space_group_symop_operation_xyz
'x,y,z'
loop_
_atom_site_label
_atom_site_fract_x
_atom_site_fract_y
_atom_site_fract_z
Er1 0.0000 0.5000 0.0000
In1 0.3717 0.5820 0.7434
Er2 0.2201 0.2199 0.4402
Er3 0.7799 0.7801 0.5598
In2 0.3717 0.1615 0.7435
In3 0.6283 0.4180 0.2566
In4 0.6283 0.8385 0.2565
Pm1 0.5000 0.0000 0.0000

(3)
# Fe2NiRh, relaxed, DFT GGA-PBE
# Crystal system ... tetragonal
# Formation enthalpy at 0 K ... 10.0 meV/atom
# Space group ... P4mm (99)
data_Fe2NiRh
_space_group_name_H-M_alt 'P 1'
_space_group_IT_number 1
_cell_length_a 2.9045
_cell_length_b 2.9045
_cell_length_c 5.9407
_cell_angle_alpha 90.00
_cell_angle_beta 90.00
_cell_angle_gamma 90.00
loop_
_space_group_symop_operation_xyz
'x,y,z'
loop_
_atom_site_label
_atom_site_fract_x
_atom_site_fract_y
_atom_site_fract_z
Fe1 0.0000 0.0000 0.0118
Rh1 0.5000 0.5000 0.7565
Fe2 0.5000 0.5000 0.2562
Ni1 0.0000 0.0000 0.4754